Entry from the Alexandria database: a geometry-optimized ScH3Rh3 structure (PBE).

```
data_ScH3Rh3
_cell_length_a 4.055
_cell_length_b 4.055
_cell_length_c 4.055
_cell_angle_alpha 90.00
_cell_angle_beta 90.00
_cell_angle_gamma 90.00
_space_group_name_H-M_alt 'P 1'
_space_group_IT_number 1
loop_
_space_group_symop_operation_xyz
'x,y,z'
loop_
_atom_site_label
_atom_site_type_symbol
_atom_site_fract_x
_atom_site_fract_y
_atom_site_fract_z
_atom_site_occupancy
Sc1 Sc 0.000 0.000 0.000 1
H1 H 0.000 0.000 0.500 1
H2 H 0.000 0.500 0.000 1
H3 H 0.500 0.000 0.000 1
Rh1 Rh 0.000 0.500 0.500 1
Rh2 Rh 0.500 0.000 0.500 1
Rh3 Rh 0.500 0.500 0.000 1
```



Entry from the Alexandria database: a geometry-optimized ScH3Rh structure (PBE).

```
data_ScH3Rh
_cell_length_a 5.438
_cell_length_b 5.438
_cell_length_c 5.438
_cell_angle_alpha 51.15
_cell_angle_beta 51.15
_cell_angle_gamma 51.15
_space_group_name_H-M_alt 'P 1'
_space_group_IT_number 1
loop_
_space_group_symop_operation_xyz
'x,y,z'
loop_
_atom_site_label
_atom_site_type_symbol
_atom_site_fract_x
_atom_site_fract_y
_atom_site_fract_z
_atom_site_occupancy
Sc1 Sc 0.103 0.103 0.103 1
Sc2 Sc 0.897 0.897 0.897 1
H1 H 0.123 0.579 0.579 1
H2 H 0.421 0.421 0.877 1
H3 H 0.421 0.877 0.421 1
H4 H 0.579 0.123 0.579 1
H5 H 0.579 0.579 0.123 1
H6 H 0.877 0.421 0.421 1
Rh1 Rh 0.297 0.297 0.297 1
Rh2 Rh 0.703 0.703 0.703 1
```



Entry from the Alexandria database: a geometry-optimized Sc3HRh structure (PBE).

```
data_Sc3HRh
_cell_length_a 6.940
_cell_length_b 3.366
_cell_length_c 7.644
_cell_angle_alpha 90.00
_cell_angle_beta 107.23
_cell_angle_gamma 90.00
_space_group_name_H-M_alt 'P 1'
_space_group_IT_number 1
loop_
_space_group_symop_operation_xyz
'x,y,z'
loop_
_atom_site_label
_atom_site_type_symbol
_atom_site_fract_x
_atom_site_fract_y
_atom_site_fract_z
_atom_site_occupancy
Sc1 Sc 0.085 0.000 0.325 1
Sc2 Sc 0.297 0.000 0.036 1
Sc3 Sc 0.340 0.500 0.686 1
Sc4 Sc 0.660 0.500 0.314 1
Sc5 Sc 0.703 0.000 0.964 1
Sc6 Sc 0.915 0.000 0.675 1
H1 H 0.000 0.500 0.500 1
H2 H 0.500 0.500 0.000 1
Rh1 Rh 0.000 0.500 0.000 1
Rh2 Rh 0.500 0.000 0.500 1
```



Entry from the Alexandria database: a geometry-optimized Sc2H2Rh structure (PBE).

```
data_Sc2H2Rh
_cell_length_a 3.146
_cell_length_b 3.146
_cell_length_c 6.312
_cell_angle_alpha 90.00
_cell_angle_beta 90.00
_cell_angle_gamma 90.00
_space_group_name_H-M_alt 'P 1'
_space_group_IT_number 1
loop_
_space_group_symop_operation_xyz
'x,y,z'
loop_
_atom_site_label
_atom_site_type_symbol
_atom_site_fract_x
_atom_site_fract_y
_atom_site_fract_z
_atom_site_occupancy
Sc1 Sc 0.000 0.000 0.235 1
Sc2 Sc 0.000 0.000 0.765 1
H1 H 0.000 0.500 0.000 1
H2 H 0.500 0.000 0.000 1
Rh1 Rh 0.500 0.500 0.500 1
```



Entry from the Alexandria database: a geometry-optimized ScH3Rh structure (PBE).

```
data_ScH3Rh
_cell_length_a 4.909
_cell_length_b 7.034
_cell_length_c 5.091
_cell_angle_alpha 90.00
_cell_angle_beta 90.00
_cell_angle_gamma 90.00
_space_group_name_H-M_alt 'P 1'
_space_group_IT_number 1
loop_
_space_group_symop_operation_xyz
'x,y,z'
loop_
_atom_site_label
_atom_site_type_symbol
_atom_site_fract_x
_atom_site_fract_y
_atom_site_fract_z
_atom_site_occupancy
Sc1 Sc 0.012 0.250 0.000 1
Sc2 Sc 0.488 0.750 0.500 1
Sc3 Sc 0.512 0.250 0.500 1
Sc4 Sc 0.988 0.750 0.000 1
H1 H 0.000 0.250 0.443 1
H2 H 0.000 0.750 0.557 1
H3 H 0.224 0.527 0.226 1
H4 H 0.224 0.973 0.226 1
H5 H 0.276 0.027 0.726 1
H6 H 0.276 0.473 0.726 1
H7 H 0.500 0.250 0.057 1
H8 H 0.500 0.750 0.943 1
H9 H 0.724 0.527 0.274 1
H10 H 0.724 0.973 0.274 1
H11 H 0.776 0.027 0.774 1
H12 H 0.776 0.473 0.774 1
Rh1 Rh 0.000 0.000 0.500 1
Rh2 Rh 0.000 0.500 0.500 1
Rh3 Rh 0.500 0.000 0.000 1
Rh4 Rh 0.500 0.500 0.000 1
```



Entry from the Alexandria database: a geometry-optimized ScH3Rh structure (PBE).

```
data_ScH3Rh
_cell_length_a 7.637
_cell_length_b 7.637
_cell_length_c 7.637
_cell_angle_alpha 152.22
_cell_angle_beta 152.22
_cell_angle_gamma 39.69
_space_group_name_H-M_alt 'P 1'
_space_group_IT_number 1
loop_
_space_group_symop_operation_xyz
'x,y,z'
loop_
_atom_site_label
_atom_site_type_symbol
_atom_site_fract_x
_atom_site_fract_y
_atom_site_fract_z
_atom_site_occupancy
Sc1 Sc 0.112 0.112 0.000 1
Sc2 Sc 0.888 0.888 0.000 1
H1 H 0.009 0.509 0.500 1
H2 H 0.115 0.351 0.764 1
H3 H 0.491 0.991 0.500 1
H4 H 0.587 0.351 0.236 1
H5 H 0.649 0.413 0.764 1
H6 H 0.649 0.885 0.236 1
Rh1 Rh 0.500 0.500 0.000 1
Rh2 Rh 0.750 0.250 0.500 1
```



| no. | DFT total energy (eV/atom) |
| --- | --- |
| 1 | -5.88 |
| 2 | -5.18 |
| 3 | -6.41 |
| 4 | -5.97 |
| 5 | -5.25 |
| 6 | -4.96 |